# 1
First-principles (PBE-GGA) data for crystalline InNiAgAu at its relaxed geometry, as listed in Alexandria via LeMat-Bulk.

The structure belongs to space group F-43m (No. 216); the cell edges are 6.478, 6.478 and 6.478 Å and the angles 90.00°, 90.00° and 90.00°. The asymmetric unit holds In at (0.000, 0.000, 0.000), Ni at (0.250, 0.250, 0.750), Ag at (0.250, 0.250, 0.250) and Au at (0.000, 0.000, 0.500).

The spin magnetization comes out at 0.00 μB/atom. The volume comes out at 271.9 Å³/cell.


# 2
First-principles (PBE-GGA) data for crystalline Li2YNi at its relaxed geometry, as listed in Alexandria via LeMat-Bulk.

The structure belongs to space group P4/mmm (No. 123); the cell edges are 3.844, 3.844 and 5.108 Å and the angles 90.00°, 90.00° and 90.00°. The asymmetric unit holds Li at (0.000, 0.500, 0.000), Y at (0.000, 0.000, 0.500) and Ni at (0.500, 0.500, 0.500).

The spin magnetization comes out at 0.00 μB/atom. The volume comes out at 75.5 Å³/cell.


# 3
First-principles (PBE-GGA) data for crystalline YCo3Ge at its relaxed geometry, as listed in Alexandria via LeMat-Bulk.

The structure belongs to space group Pm-3m (No. 221); the cell edges are 4.390, 4.390 and 4.390 Å and the angles 90.00°, 90.00° and 90.00°. The asymmetric unit holds Y at (0.000, 0.000, 0.000), Co at (0.000, 0.500, 0.500) and Ge at (0.500, 0.500, 0.500).

The spin magnetization comes out at 0.50 μB/atom. The volume comes out at 84.6 Å³/cell.


# 4
First-principles (PBE-GGA) data for crystalline SrPrZnIn at its relaxed geometry, as listed in Alexandria via LeMat-Bulk.

The structure belongs to space group F-43m (No. 216); the cell edges are 7.824, 7.824 and 7.824 Å and the angles 90.00°, 90.00° and 90.00°. The asymmetric unit holds Sr at (0.000, 0.000, 0.000), Pr at (0.000, 0.000, 0.500), Zn at (0.250, 0.250, 0.250) and In at (0.250, 0.250, 0.750).

The spin magnetization comes out at 0.00 μB/atom. The volume comes out at 478.9 Å³/cell.


Asked for DFT formation energy across the records above, the calculation gives 0.1, -0.8, 4.2, -7.4 kcal/mol of atoms in order.
Asked for total energy across the records above, the calculation gives -58.52, -16.21, -31.49, -47.04 eV for the cell shown in order.